<a>
{"formula": "H2OsPd", "functional": "PBE", "state": "optimized geometry", "lattice_angstrom": [[-2.151, 2.151, 3.990], [2.151, -2.151, 3.990], [2.151, 2.151, -3.990]], "species": ["H", "H", "H", "H", "Os", "Os", "Pd", "Pd"], "fractional_positions": [[0.115, 0.625, 0.990], [0.375, 0.365, 0.490], [0.635, 0.125, 0.010], [0.875, 0.885, 0.510], [0.000, 0.000, 0.000], [0.750, 0.250, 0.500], [0.250, 0.750, 0.500], [0.500, 0.500, 0.000]], "spacegroup": "I-42d (122)"}

<b>
{"formula": "H2OsPd", "functional": "PBE", "state": "optimized geometry", "lattice_angstrom": [[0.000, 2.646, 2.646], [2.646, 0.000, 2.646], [2.646, 2.646, 0.000]], "species": ["H", "H", "Os", "Pd"], "fractional_positions": [[0.250, 0.250, 0.250], [0.750, 0.750, 0.750], [0.000, 0.000, 0.000], [0.500, 0.500, 0.500]], "spacegroup": "Fm-3m (225)"}

Most favorable structure: <a>. The second most favorable one is 566 meV/atom above it.

<a>
{"formula": "H2OsPd2", "functional": "PBE", "state": "optimized geometry", "lattice_angstrom": [[-2.275, 2.275, 2.762], [2.275, -2.275, 2.762], [2.275, 2.275, -2.762]], "species": ["H", "H", "Os", "Pd", "Pd"], "fractional_positions": [[0.189, 0.189, 0.000], [0.811, 0.811, 0.000], [0.500, 0.500, 0.000], [0.250, 0.750, 0.500], [0.750, 0.250, 0.500]], "spacegroup": "I4/mmm (139)"}

<b>
{"formula": "H2OsPd2", "functional": "PBE", "state": "optimized geometry", "lattice_angstrom": [[6.294, 0.000, 0.000], [0.000, 6.294, 0.000], [0.000, 0.000, 2.756]], "species": ["H", "H", "H", "H", "Os", "Os", "Pd", "Pd", "Pd", "Pd"], "fractional_positions": [[0.213, 0.287, 0.000], [0.287, 0.787, 0.000], [0.713, 0.213, 0.000], [0.787, 0.713, 0.000], [0.000, 0.000, 0.000], [0.500, 0.500, 0.000], [0.161, 0.661, 0.500], [0.339, 0.161, 0.500], [0.661, 0.839, 0.500], [0.839, 0.339, 0.500]], "spacegroup": "P4/mbm (127)"}

Most favorable structure: <b>. The second most favorable one is 63 meV/atom above it.

<a>
{"formula": "TcHOsPd2", "functional": "PBE", "state": "optimized geometry", "lattice_angstrom": [[4.951, 0.000, 0.000], [0.000, 4.951, 0.000], [0.000, 0.000, 3.076]], "species": ["Tc", "H", "Os", "Pd", "Pd"], "fractional_positions": [[0.000, 0.000, 0.000], [0.500, 0.500, 0.000], [0.500, 0.500, 0.500], [0.000, 0.500, 0.500], [0.500, 0.000, 0.500]], "spacegroup": "P4/mmm (123)"}

<b>
{"formula": "TcHOsPd2", "functional": "PBE", "state": "optimized geometry", "lattice_angstrom": [[4.909, 0.000, 0.000], [0.000, 4.909, 0.000], [0.000, 0.000, 4.629]], "species": ["Tc", "H", "Os", "Pd", "Pd"], "fractional_positions": [[0.000, 0.000, 0.000], [0.500, 0.500, 0.000], [0.000, 0.000, 0.500], [0.000, 0.500, 0.500], [0.500, 0.000, 0.500]], "spacegroup": "P4/mmm (123)"}

Most favorable structure: <a>. The second most favorable one is 684 meV/atom above it.

<a>
{"formula": "V2HOsPd", "functional": "PBE", "state": "optimized geometry", "lattice_angstrom": [[3.919, 0.000, 0.000], [0.000, 3.919, 0.000], [0.000, 0.000, 3.763]], "species": ["V", "V", "H", "Os", "Pd"], "fractional_positions": [[0.000, 0.500, 0.000], [0.500, 0.000, 0.000], [0.000, 0.000, 0.000], [0.500, 0.500, 0.500], [0.000, 0.000, 0.500]], "spacegroup": "P4/mmm (123)"}

<b>
{"formula": "V2HOsPd", "functional": "PBE", "state": "optimized geometry", "lattice_angstrom": [[3.910, 0.000, 0.000], [0.000, 3.910, 0.000], [0.000, 0.000, 3.794]], "species": ["V", "V", "H", "Os", "Pd"], "fractional_positions": [[0.000, 0.500, 0.000], [0.500, 0.000, 0.000], [0.000, 0.000, 0.000], [0.000, 0.000, 0.500], [0.500, 0.500, 0.500]], "spacegroup": "P4/mmm (123)"}

Most favorable structure: <b>. The second most favorable one is 12 meV/atom above it.

<a>
{"formula": "H2OsPt2", "functional": "PBE", "state": "optimized geometry", "lattice_angstrom": [[-1.411, 1.411, 6.597], [1.411, -1.411, 6.597], [1.411, 1.411, -6.597]], "species": ["H", "H", "Os", "Pt", "Pt"], "fractional_positions": [[0.250, 0.750, 0.500], [0.750, 0.250, 0.500], [0.000, 0.000, 0.000], [0.353, 0.353, 0.000], [0.647, 0.647, 0.000]], "spacegroup": "I4/mmm (139)"}

<b>
{"formula": "H2OsPt2", "functional": "PBE", "state": "optimized geometry", "lattice_angstrom": [[6.680, 0.000, 0.000], [0.000, 6.680, 0.000], [0.000, 0.000, 2.673]], "species": ["H", "H", "H", "H", "Os", "Os", "Pt", "Pt", "Pt", "Pt"], "fractional_positions": [[0.104, 0.396, 0.000], [0.396, 0.896, 0.000], [0.604, 0.104, 0.000], [0.896, 0.604, 0.000], [0.000, 0.000, 0.000], [0.500, 0.500, 0.000], [0.220, 0.280, 0.500], [0.280, 0.780, 0.500], [0.720, 0.220, 0.500], [0.780, 0.720, 0.500]], "spacegroup": "P4/mbm (127)"}

Most favorable structure: <b>. The second most favorable one is 27 meV/atom above it.

<a>
{"formula": "Ta2HOsPt", "functional": "PBE", "state": "optimized geometry", "lattice_angstrom": [[4.125, 0.000, 0.000], [0.000, 4.125, 0.000], [0.000, 0.000, 3.946]], "species": ["Ta", "Ta", "H", "Os", "Pt"], "fractional_positions": [[0.000, 0.500, 0.000], [0.500, 0.000, 0.000], [0.000, 0.000, 0.000], [0.500, 0.500, 0.500], [0.000, 0.000, 0.500]], "spacegroup": "P4/mmm (123)"}

<b>
{"formula": "Ta2HOsPt", "functional": "PBE", "state": "optimized geometry", "lattice_angstrom": [[4.116, 0.000, 0.000], [0.000, 4.116, 0.000], [0.000, 0.000, 3.952]], "species": ["Ta", "Ta", "H", "Os", "Pt"], "fractional_positions": [[0.000, 0.500, 0.000], [0.500, 0.000, 0.000], [0.000, 0.000, 0.000], [0.000, 0.000, 0.500], [0.500, 0.500, 0.500]], "spacegroup": "P4/mmm (123)"}

Most favorable structure: <b>. The second most favorable one is 57 meV/atom above it.

<a>
{"formula": "TaHOs2Pt", "functional": "PBE", "state": "optimized geometry", "lattice_angstrom": [[3.969, 0.000, 0.000], [0.000, 3.969, 0.000], [0.000, 0.000, 4.014]], "species": ["Ta", "H", "Os", "Os", "Pt"], "fractional_positions": [[0.000, 0.000, 0.000], [0.000, 0.000, 0.500], [0.000, 0.500, 0.500], [0.500, 0.000, 0.500], [0.500, 0.500, 0.000]], "spacegroup": "P4/mmm (123)"}

<b>
{"formula": "TaHOs2Pt", "functional": "PBE", "state": "optimized geometry", "lattice_angstrom": [[4.022, 0.000, 0.000], [0.000, 4.022, 0.000], [0.000, 0.000, 3.917]], "species": ["Ta", "H", "Os", "Os", "Pt"], "fractional_positions": [[0.000, 0.000, 0.000], [0.500, 0.500, 0.500], [0.000, 0.500, 0.500], [0.500, 0.000, 0.500], [0.500, 0.500, 0.000]], "spacegroup": "P4/mmm (123)"}

Most favorable structure: <a>. The second most favorable one is 6 meV/atom above it.

<a>
{"formula": "Rb2HOs", "functional": "PBE", "state": "optimized geometry", "lattice_angstrom": [[0.000, 4.080, 4.080], [4.080, 0.000, 4.080], [4.080, 4.080, 0.000]], "species": ["Rb", "Rb", "H", "Os"], "fractional_positions": [[0.250, 0.250, 0.250], [0.750, 0.750, 0.750], [0.000, 0.000, 0.000], [0.500, 0.500, 0.500]], "spacegroup": "Fm-3m (225)"}

<b>
{"formula": "Rb2HOs", "functional": "PBE", "state": "optimized geometry", "lattice_angstrom": [[-6.021, 6.021, 1.744], [6.021, -6.021, 1.744], [6.021, 6.021, -1.744]], "species": ["Rb", "Rb", "Rb", "Rb", "H", "H", "Os", "Os"], "fractional_positions": [[0.375, 0.178, 0.303], [0.822, 0.125, 0.197], [0.875, 0.072, 0.697], [0.928, 0.625, 0.803], [0.000, 0.000, 0.000], [0.750, 0.250, 0.500], [0.250, 0.750, 0.500], [0.500, 0.500, 0.000]], "spacegroup": "I-42d (122)"}

Most favorable structure: <b>. The second most favorable one is 610 meV/atom above it.

<a>
{"formula": "Re2HOs2", "functional": "PBE", "state": "optimized geometry", "lattice_angstrom": [[-1.932, 1.932, 5.713], [1.932, -1.932, 5.713], [1.932, 1.932, -5.713]], "species": ["Re", "Re", "H", "Os", "Os"], "fractional_positions": [[0.250, 0.750, 0.500], [0.750, 0.250, 0.500], [0.000, 0.000, 0.000], [0.393, 0.393, 0.000], [0.607, 0.607, 0.000]], "spacegroup": "I4/mmm (139)"}

<b>
{"formula": "Re2HOs2", "functional": "PBE", "state": "optimized geometry", "lattice_angstrom": [[7.568, 0.000, 0.000], [0.000, 7.568, 0.000], [0.000, 0.000, 2.743]], "species": ["Re", "Re", "Re", "Re", "H", "H", "Os", "Os", "Os", "Os"], "fractional_positions": [[0.154, 0.346, 0.000], [0.346, 0.846, 0.000], [0.654, 0.154, 0.000], [0.846, 0.654, 0.000], [0.000, 0.000, 0.500], [0.500, 0.500, 0.500], [0.136, 0.636, 0.500], [0.364, 0.136, 0.500], [0.636, 0.864, 0.500], [0.864, 0.364, 0.500]], "spacegroup": "P4/mbm (127)"}

Most favorable structure: <b>. The second most favorable one is 334 meV/atom above it.

<a>
{"formula": "ReH3Os", "functional": "PBE", "state": "optimized geometry", "lattice_angstrom": [[3.412, 0.000, 0.000], [0.000, 3.412, 0.000], [0.000, 0.000, 3.412]], "species": ["Re", "H", "H", "H", "Os"], "fractional_positions": [[0.000, 0.000, 0.000], [0.000, 0.500, 0.500], [0.500, 0.000, 0.500], [0.500, 0.500, 0.000], [0.500, 0.500, 0.500]], "spacegroup": "Pm-3m (221)"}

<b>
{"formula": "ReH3Os", "functional": "PBE", "state": "optimized geometry", "lattice_angstrom": [[3.435, 0.000, 0.000], [0.000, 3.435, 0.000], [0.000, 0.000, 3.435]], "species": ["Re", "H", "H", "H", "Os"], "fractional_positions": [[0.000, 0.000, 0.000], [0.000, 0.000, 0.500], [0.000, 0.500, 0.000], [0.500, 0.000, 0.000], [0.500, 0.500, 0.500]], "spacegroup": "Pm-3m (221)"}

Most favorable structure: <a>. The second most favorable one is 132 meV/atom above it.

<a>
{"formula": "ReTcHOs2", "functional": "PBE", "state": "optimized geometry", "lattice_angstrom": [[3.913, 0.000, 0.000], [0.000, 3.913, 0.000], [0.000, 0.000, 3.929]], "species": ["Re", "Tc", "H", "Os", "Os"], "fractional_positions": [[0.000, 0.000, 0.000], [0.500, 0.500, 0.000], [0.500, 0.500, 0.500], [0.000, 0.500, 0.500], [0.500, 0.000, 0.500]], "spacegroup": "P4/mmm (123)"}

<b>
{"formula": "ReTcHOs2", "functional": "PBE", "state": "optimized geometry", "lattice_angstrom": [[3.911, 0.000, 0.000], [0.000, 3.911, 0.000], [0.000, 0.000, 3.944]], "species": ["Re", "Tc", "H", "Os", "Os"], "fractional_positions": [[0.000, 0.000, 0.000], [0.500, 0.500, 0.000], [0.000, 0.000, 0.500], [0.000, 0.500, 0.500], [0.500, 0.000, 0.500]], "spacegroup": "P4/mmm (123)"}

Most favorable structure: <a>. The second most favorable one is 42 meV/atom above it.

<a>
{"formula": "Re2TcHOs", "functional": "PBE", "state": "optimized geometry", "lattice_angstrom": [[3.945, 0.000, 0.000], [0.000, 3.945, 0.000], [0.000, 0.000, 3.920]], "species": ["Re", "Re", "Tc", "H", "Os"], "fractional_positions": [[0.000, 0.500, 0.000], [0.500, 0.000, 0.000], [0.000, 0.000, 0.500], [0.500, 0.500, 0.000], [0.500, 0.500, 0.500]], "spacegroup": "P4/mmm (123)"}

<b>
{"formula": "Re2TcHOs", "functional": "PBE", "state": "optimized geometry", "lattice_angstrom": [[3.939, 0.000, 0.000], [0.000, 3.939, 0.000], [0.000, 0.000, 3.923]], "species": ["Re", "Re", "Tc", "H", "Os"], "fractional_positions": [[0.000, 0.500, 0.000], [0.500, 0.000, 0.000], [0.000, 0.000, 0.500], [0.000, 0.000, 0.000], [0.500, 0.500, 0.500]], "spacegroup": "P4/mmm (123)"}

Most favorable structure: <b>. The second most favorable one is 29 meV/atom above it.

<a>
{"formula": "V2ReHOs", "functional": "PBE", "state": "optimized geometry", "lattice_angstrom": [[3.933, 0.000, 0.000], [0.000, 3.933, 0.000], [0.000, 0.000, 3.772]], "species": ["V", "V", "Re", "H", "Os"], "fractional_positions": [[0.000, 0.500, 0.000], [0.500, 0.000, 0.000], [0.000, 0.000, 0.500], [0.000, 0.000, 0.000], [0.500, 0.500, 0.500]], "spacegroup": "P4/mmm (123)"}

<b>
{"formula": "V2ReHOs", "functional": "PBE", "state": "optimized geometry", "lattice_angstrom": [[4.000, 0.000, 0.000], [0.000, 4.000, 0.000], [0.000, 0.000, 3.656]], "species": ["V", "V", "Re", "H", "Os"], "fractional_positions": [[0.000, 0.500, 0.000], [0.500, 0.000, 0.000], [0.000, 0.000, 0.500], [0.500, 0.500, 0.000], [0.500, 0.500, 0.500]], "spacegroup": "P4/mmm (123)"}

Most favorable structure: <b>. The second most favorable one is 8 meV/atom above it.

<a>
{"formula": "H2OsRh2", "functional": "PBE", "state": "optimized geometry", "lattice_angstrom": [[-1.392, 1.392, 6.272], [1.392, -1.392, 6.272], [1.392, 1.392, -6.272]], "species": ["H", "H", "Os", "Rh", "Rh"], "fractional_positions": [[0.250, 0.750, 0.500], [0.750, 0.250, 0.500], [0.000, 0.000, 0.000], [0.352, 0.352, 0.000], [0.648, 0.648, 0.000]], "spacegroup": "I4/mmm (139)"}

<b>
{"formula": "H2OsRh2", "functional": "PBE", "state": "optimized geometry", "lattice_angstrom": [[6.038, 0.000, 0.000], [0.000, 6.038, 0.000], [0.000, 0.000, 2.798]], "species": ["H", "H", "H", "H", "Os", "Os", "Rh", "Rh", "Rh", "Rh"], "fractional_positions": [[0.215, 0.285, 0.000], [0.285, 0.785, 0.000], [0.715, 0.215, 0.000], [0.785, 0.715, 0.000], [0.000, 0.000, 0.000], [0.500, 0.500, 0.000], [0.152, 0.652, 0.500], [0.348, 0.152, 0.500], [0.652, 0.848, 0.500], [0.848, 0.348, 0.500]], "spacegroup": "P4/mbm (127)"}

Most favorable structure: <a>. The second most favorable one is 242 meV/atom above it.